PaHgF6 after structural relaxation, computed with PBE.

Cell: 5.869 5.933 6.750 Å, 64.22 63.89 59.75°
Last column: magnetic moment on the atom in μB.
Fractional positions:
1 F 0.774 0.080 0.788  0.03
2 Pa 0.000 0.000 0.000  0.07
3 F 0.226 0.920 0.212  0.03
4 F 0.361 0.773 0.788  0.03
5 F 0.080 0.355 0.789  0.03
6 F 0.639 0.227 0.212  0.03
7 F 0.920 0.645 0.211  0.03
8 Hg 0.500 0.500 0.500  0.53

Calculated values
DOS(E_F) = 1.1 states/eV/cell
raw formation energy = -3042 meV per atom
SG = P-1 (2)
VASP energy = -5.670 eV/atom